Compound: LaNb2N3
Source: Alexandria
Functional: PBE-GGA
Structure: optimized geometry

Cell and atoms, written as POSCAR:
```
LaNb2N3
1.0
5.7501 0.0000 0.0000
0.0000 6.3245 0.7540
0.0000 -0.8754 6.3088
La Nb N
2 4 6
direct
0.2500 0.3653 0.6347
0.7500 0.6347 0.3653
0.0000 0.1585 0.1585
0.5000 0.1585 0.1585
0.0000 0.8415 0.8415
0.5000 0.8415 0.8415
0.7500 0.0640 0.9360
0.7500 0.2682 0.3612
0.2500 0.3612 0.2682
0.7500 0.6388 0.7318
0.2500 0.7318 0.6388
0.2500 0.9360 0.0640
```

Computed properties:
* DOS at the Fermi energy: 0.432 states/eV/atom
* E_form (uncorrected): -0.519 eV per atom
* distance to the lowest polymorph of the same formula: 683 meV per atom